Record 1
Na3AgO | the Alexandria database | SCAN | single point on PBEsol structure; energy relative to the elements, uncorrected = -745 meV per atom; spin magnetization = 0.00 μB per cell
1.0
4.593 0.000 0.000
0.000 4.593 0.000
0.000 0.000 4.593
Na Ag O
3 1 1
Direct
0.500 0.000 0.000
0.000 0.500 0.000
0.000 0.000 0.500
0.500 0.500 0.500
0.000 0.000 0.000

---

Record 2
Y2Mn12Co5 | the Alexandria database | SCAN | single point on PBEsol structure; Fermi-level density of states = 0.855 states/eV/atom; final energy = -0.70030 hartree per atom; spin magnetization = 8.90 μB per cell
1.0
6.194 0.004 0.004
0.524 6.172 0.004
0.524 0.481 6.153
Co Y Mn
5 2 12
Direct
0.897 0.897 0.897
0.103 0.103 0.103
0.000 0.000 0.500
0.500 0.000 0.000
0.000 0.500 0.000
0.349 0.349 0.349
0.651 0.651 0.651
0.000 0.730 0.270
0.270 0.730 0.000
0.730 0.270 0.000
0.648 0.648 0.130
0.648 0.130 0.648
0.352 0.870 0.352
0.130 0.648 0.648
0.870 0.352 0.352
0.352 0.352 0.870
0.730 0.000 0.270
0.270 0.000 0.730
0.000 0.270 0.730

---

Record 3
Ru3Rh | the Alexandria database | SCAN | single point on PBEsol structure; Fermi-level density of states = 0.933 states/eV/atom; final energy = -1.26667 hartree per atom; spin magnetization = 0.00 μB per cell
1.0
-2.247 1.410 -0.136
-0.973 -1.128 4.371
2.458 3.909 -0.086
Ru Rh
3 1
Direct
0.500 0.500 0.000
0.500 0.000 0.500
0.000 0.500 0.500
0.000 0.000 0.000

---

Record 4
BeAl2Cd | the Alexandria database | SCAN | single point on PBEsol structure; Fermi-level density of states = 0.311 states/eV/atom; ΔE to the lowest computed polymorph = 0.00 eV/f.u.; spin magnetization = 0.02 μB per cell
1.0
-0.906 -2.515 -0.767
4.692 -0.123 -0.100
-1.542 -1.028 5.188
Cd Al Be
1 2 1
Direct
0.218 0.436 0.756
0.000 0.999 0.023
0.771 0.543 0.308
0.511 0.022 0.413

---

Record 5
ScBeAs2 | the Alexandria database | SCAN | single point on PBEsol structure; Fermi-level density of states = 0.391 states/eV/atom; final energy = -0.55510 hartree per atom; spin magnetization = 0.00 μB per cell
1.0
-0.409 3.321 1.344
0.192 -1.446 3.632
4.507 0.562 -0.015
As Sc Be
2 1 1
Direct
0.000 0.000 0.000
0.000 0.500 0.500
0.500 0.000 0.500
0.500 0.500 0.000

---

Record 6
CrCuRu2 | the Alexandria database | SCAN | single point on PBEsol structure; Fermi-level density of states = 0.980 states/eV/atom; final energy = -0.93837 hartree per atom; spin magnetization = 0.00 μB per cell
1.0
2.626 0.000 0.000
0.000 2.626 0.000
0.000 0.000 7.239
Ru Cu Cr
2 1 1
Direct
0.500 0.500 0.257
0.000 0.000 0.998
0.500 0.500 0.742
0.000 0.000 0.503

---

Record 7
YBSe2 | the Alexandria database | SCAN | single point on PBEsol structure; Fermi-level density of states = 0.490 states/eV/atom; energy relative to the elements, uncorrected = 206 meV per atom; spin magnetization = 0.00 μB per cell
1.0
3.380 0.000 0.000
1.690 2.927 0.000
1.690 0.976 8.093
Se B Y
2 1 1
Direct
0.115 0.115 0.654
0.885 0.885 0.346
0.500 0.500 0.500
0.000 0.000 0.000

---

Record 8
Al2AsRu | the Alexandria database | SCAN | single point on PBEsol structure; Fermi-level density of states = 0.638 states/eV/atom; final energy = -0.65543 hartree per atom; spin magnetization = 0.00 μB per cell
1.0
-1.330 -0.003 -3.618
-3.577 -0.574 1.316
1.908 4.141 1.349
As Al Ru
1 2 1
Direct
0.500 0.500 0.000
0.750 0.250 0.500
0.250 0.750 0.500
0.000 0.000 0.000

---

Record 9
CdCoPO2 | the Alexandria database | SCAN | single point on PBEsol structure; Fermi-level density of states = 0.791 states/eV/atom; energy relative to the elements, uncorrected = 734 meV per atom; spin magnetization = 3.25 μB per cell
1.0
3.919 0.000 0.000
0.000 3.919 0.000
0.000 0.000 5.227
O Co Cd P
2 1 1 1
Direct
0.500 0.000 0.000
0.000 0.500 0.000
0.500 0.500 0.500
0.000 0.000 0.000
0.000 0.000 0.500

---

Record 10
RbInPd2C | the Alexandria database | SCAN | single point on PBEsol structure; Fermi-level density of states = 0.462 states/eV/atom; final energy = -0.87160 hartree per atom; spin magnetization = 1.92 μB per cell
1.0
4.600 0.000 0.000
0.000 5.073 0.000
0.000 0.000 5.073
Pd Rb In C
2 1 1 1
Direct
0.000 0.500 0.000
0.000 0.000 0.500
0.000 0.000 0.000
0.500 0.500 0.500
0.500 0.000 0.000

---

Record 11
Hf2ScCr | the Alexandria database | SCAN | single point on PBEsol structure; Fermi-level density of states = 1.049 states/eV/atom; final energy = -1.44417 hartree per atom; spin magnetization = 0.81 μB per cell
1.0
-1.196 -0.679 4.501
-2.199 -3.960 1.279
2.264 -3.223 2.576
Cr Sc Hf
1 1 2
Direct
0.500 0.500 0.500
0.000 0.000 0.000
0.750 0.750 0.750
0.250 0.250 0.250

---

Record 12
MgPb3 | the Alexandria database | SCAN | single point on PBEsol structure; Fermi-level density of states = 0.298 states/eV/atom; final energy = -2.13603 hartree per atom; spin magnetization = 0.00 μB per cell
1.0
6.750 0.000 0.000
0.000 6.861 0.000
0.000 0.000 9.635
Pb Mg
12 4
Direct
0.751 0.249 0.019
0.749 0.749 0.981
0.251 0.251 0.481
0.251 0.251 0.019
0.500 0.036 0.750
0.749 0.749 0.519
0.249 0.751 0.981
0.000 0.536 0.250
0.751 0.249 0.481
0.249 0.751 0.519
0.500 0.964 0.250
0.000 0.464 0.750
0.501 0.500 0.250
0.499 0.500 0.750
0.999 0.000 0.750
0.001 0.000 0.250

---

Please write out number 1 again, unchanged.
Na3AgO | the Alexandria database | SCAN | single point on PBEsol structure; energy relative to the elements, uncorrected = -745 meV per atom; spin magnetization = 0.00 μB per cell
1.0
4.593 0.000 0.000
0.000 4.593 0.000
0.000 0.000 4.593
Na Ag O
3 1 1
Direct
0.500 0.000 0.000
0.000 0.500 0.000
0.000 0.000 0.500
0.500 0.500 0.500
0.000 0.000 0.000